This record from Alexandria via LeMat-Bulk describes a relaxed HoFe3B3 crystal. The functional is PBE-GGA.

Computed properties:
The calculation puts the formation energy at -0.140 eV/atom. As for the space-group type: P6_3/m, No. 176. The value obtained for the excess energy over the best structure of this formula in the dataset is 0.000 eV/atom.

Lattice parameters (Å, degrees): 3.0402 7.6456 7.6478 119.99 90.00 90.00
Sites, in units of the cell vectors:
B  0.7500  0.4541  0.0357
Fe  0.7500  0.3073  0.2368
Fe  0.2500  0.0706  0.3074
Fe  0.7500  0.7633  0.0705
Fe  0.2500  0.6927  0.7632
Ho  0.7500  0.3334  0.6668
B  0.2500  0.5459  0.9643
B  0.7500  0.5817  0.5458
B  0.2500  0.0357  0.5816
B  0.7500  0.9643  0.4184
Fe  0.2500  0.2367  0.9295
Fe  0.7500  0.9294  0.6926
B  0.2500  0.4183  0.4542
Ho  0.2500  0.6666  0.3332


This record from Alexandria via LeMat-Bulk describes a relaxed Ho3FeB7 crystal. The functional is PBE-GGA.

Computed properties:
The calculation puts the formation energy at -0.618 eV/atom. As for the space-group type: Cmcm, No. 63.

Lattice parameters (Å, degrees): 8.0012 8.0012 9.2596 90.00 90.00 155.44
Sites, in units of the cell vectors:
Ho  0.7574  0.2426  0.7500
B  0.4784  0.5216  0.9020
Ho  0.8950  0.1050  0.0606
Fe  0.9460  0.0540  0.7500
B  0.4784  0.5216  0.5980
B  0.2724  0.7276  0.9672
B  0.5403  0.4597  0.7500
Ho  0.2426  0.7574  0.2500
Ho  0.1050  0.8950  0.9394
Ho  0.1050  0.8950  0.5606
Ho  0.8950  0.1050  0.4394
B  0.3699  0.6301  0.8470
B  0.7276  0.2724  0.0328
B  0.5216  0.4784  0.0980
B  0.6301  0.3699  0.3470
B  0.5216  0.4784  0.4020
Fe  0.0540  0.9460  0.2500
B  0.3699  0.6301  0.6530
B  0.2724  0.7276  0.5328
B  0.6301  0.3699  0.1530
B  0.7276  0.2724  0.4672
B  0.4597  0.5403  0.2500


This record from Alexandria via LeMat-Bulk describes a relaxed HoFe9B4 crystal. The functional is PBE-GGA.

Computed properties:
The calculation puts the formation energy at -0.047 eV/atom. As for the space-group type: I4/mcm, No. 140.

Lattice parameters (Å, degrees): 7.3073 7.3073 7.4913 119.19 119.19 90.00
Sites, in units of the cell vectors:
Fe  0.0497  0.8211  0.3708
B  0.7133  0.2133  0.7569
B  0.4564  0.2868  0.2431
Fe  0.3068  0.4190  0.0000
B  0.9564  0.4564  0.2431
Fe  0.6932  0.5810  0.0000
B  0.7867  0.9564  0.2431
Ho  0.7500  0.7500  0.5000
Fe  0.6789  0.4503  0.6292
B  0.2133  0.0436  0.7569
Fe  0.1932  0.9190  0.0000
Fe  0.4503  0.9503  0.6292
Ho  0.2500  0.2500  0.5000
B  0.2868  0.7867  0.2431
Fe  0.9190  0.8068  0.0000
Fe  0.1789  0.6789  0.6292
Fe  0.5497  0.0497  0.3708
Fe  0.8211  0.3211  0.3708
Fe  0.0000  0.5000  0.0000
Fe  0.5810  0.3068  0.0000
Fe  0.3211  0.5497  0.3708
B  0.0436  0.5436  0.7569
Fe  0.4190  0.6932  0.0000
Fe  0.8068  0.0810  0.0000
Fe  0.0810  0.1932  0.0000
Fe  0.5000  0.0000  0.0000
B  0.5436  0.7133  0.7569
Fe  0.9503  0.1789  0.6292